# 1
First-principles (PBE) data for a relaxed structure of La5Fe2Br2, as listed in Alexandria.

## Properties
The calculation puts the formation energy without anion corrections at -0.49 eV/atom. The calculation puts the total magnetization at 2.549 μB per cell.

Lattice parameters (Å, degrees): 9.085 9.085 7.252 90.00 90.00 57.38
Element x y z (fractional)
1 La 0.000 0.000 0.000
2 La 0.059 0.705 0.640
3 La 0.205 0.559 0.140
4 La 0.295 0.941 0.640
5 La 0.441 0.795 0.140
6 La 0.500 0.500 0.500
7 La 0.559 0.205 0.860
8 La 0.705 0.059 0.360
9 La 0.795 0.441 0.860
10 La 0.941 0.295 0.360
11 Fe 0.095 0.905 0.377
12 Fe 0.405 0.595 0.877
13 Fe 0.595 0.405 0.123
14 Fe 0.905 0.095 0.623
15 Br 0.203 0.203 0.000
16 Br 0.297 0.297 0.500
17 Br 0.703 0.703 0.500
18 Br 0.797 0.797 0.000


# 2
First-principles (PBE) data for a relaxed structure of La2FeBr, as listed in Alexandria.

## Properties
The calculation puts the formation energy without anion corrections at -0.45 eV/atom. As for the distance to the lowest polymorph of the same formula: 117.8 meV/atom. The calculation puts the total magnetization at 0.472 μB per cell.

Lattice parameters (Å, degrees): 8.453 8.453 8.453 155.03 154.69 35.85
Element x y z (fractional)
1 La 0.000 0.000 0.000
2 La 0.798 0.298 0.500
3 Fe 0.402 0.402 0.000
4 Br 0.166 0.666 0.500